Below is a relaxed ReBMo crystal, with properties calculated at the PBE level.

a = 3.118 Å, b = 15.285 Å, c = 3.031 Å
α = 90.00°, β = 90.00°, γ = 90.00°
Space group Cmcm (No. 63)
Symmetry-distinct sites (fractional):
Re  0.000  0.197  0.250 x4
B  0.000  0.034  0.250 x4
Mo  0.000  0.419  0.250 x4

The calculation puts the energy above the most stable polymorph in this dataset at 70 meV/atom. The value obtained for the formation energy is -238.7 meV/atom. For the raw total energy, the calculation gives -10.22 eV per atom.

Below is a relaxed MgCr3Mo crystal, with properties calculated at the PBE level.

a = 4.689 Å, b = 4.689 Å, c = 4.689 Å
α = 90.00°, β = 90.00°, γ = 90.00°
Space group Pm-3m (No. 221)
Symmetry-distinct sites (fractional):
Mg  0.000  0.000  0.000 x1
Cr  0.000  0.500  0.500 x3
Mo  0.500  0.500  0.500 x1

The calculation puts the energy above the most stable polymorph in this dataset at 0 meV/atom. The value obtained for the formation energy is 1230.1 meV/atom. For the raw total energy, the calculation gives -7.03 eV per atom.

Below is a relaxed Ce2Pm5Os4 crystal, with properties calculated at the PBE level.

a = 26.604 Å, b = 5.281 Å, c = 4.190 Å
α = 90.00°, β = 90.23°, γ = 90.00°
Space group C2/m (No. 12)
Symmetry-distinct sites (fractional):
Ce  0.124  0.000  0.294 x4
Pm  0.000  0.000  0.000 x2
Pm  0.101  0.500  0.771 x4
Pm  0.216  0.500  0.254 x4
Os  0.024  0.500  0.254 x4
Os  0.180  0.000  0.790 x4

The value obtained for the formation energy is 34.3 meV/atom. For the raw total energy, the calculation gives -7.29 eV per atom.

Below is a relaxed CsZnCdFe2 crystal, with properties calculated at the PBE level.

a = 5.042 Å, b = 5.042 Å, c = 5.838 Å
α = 90.00°, β = 90.00°, γ = 90.00°
Space group P4/mmm (No. 123)
Symmetry-distinct sites (fractional):
Cs  0.000  0.000  0.000 x1
Zn  0.000  0.000  0.500 x1
Cd  0.500  0.500  0.500 x1
Fe  0.000  0.500  0.000 x2

The value obtained for the formation energy is 2073.2 meV/atom. For the raw total energy, the calculation gives -1.92 eV per atom.

Below is a relaxed TbAuSe crystal, with properties calculated at the PBE level.

a = 4.124 Å, b = 12.532 Å, c = 5.486 Å
α = 90.00°, β = 90.00°, γ = 90.00°
Space group Cmcm (No. 63)
Symmetry-distinct sites (fractional):
Tb  0.000  0.136  0.250 x4
Au  0.000  0.471  0.250 x4
Se  0.000  0.196  0.750 x4

Its uncorrected formation energy is -3.77 eV/f.u. For the raw total energy, the calculation gives -5.06 eV per atom.

Below is a relaxed Dy2Ho7Pu crystal, with properties calculated at the PBE level.

a = 11.856 Å, b = 16.369 Å, c = 3.435 Å
α = 90.00°, β = 90.00°, γ = 90.00°
Space group Cmmm (No. 65)
Symmetry-distinct sites (fractional):
Dy  0.000  0.165  0.000 x4
Ho  0.000  0.326  0.500 x4
Ho  0.000  0.500  0.000 x2
Ho  0.240  0.370  0.000 x8
Pu  0.000  0.000  0.500 x2

The value obtained for the formation energy is 478.9 meV/atom. For the raw total energy, the calculation gives -5.08 eV per atom.

Below is a relaxed CaScGe3 crystal, with properties calculated at the PBE level.

a = 5.093 Å, b = 5.093 Å, c = 5.093 Å
α = 90.00°, β = 90.00°, γ = 90.00°
Space group Pm-3m (No. 221)
Symmetry-distinct sites (fractional):
Ca  0.000  0.000  0.000 x1
Sc  0.500  0.500  0.500 x1
Ge  0.000  0.500  0.500 x3

The value obtained for the formation energy is -54.9 meV/atom. For the raw total energy, the calculation gives -4.49 eV per atom.

Below is a relaxed NdTm2Cd crystal, with properties calculated at the PBE level.

a = 3.767 Å, b = 5.490 Å, c = 11.366 Å
α = 90.00°, β = 90.00°, γ = 90.00°
Space group Immm (No. 71)
Symmetry-distinct sites (fractional):
Nd  0.000  0.000  0.000 x2
Tm  0.000  0.500  0.224 x4
Cd  0.000  0.000  0.500 x2

The calculation puts the energy above the most stable polymorph in this dataset at 5 meV/atom. The value obtained for the formation energy is -143.5 meV/atom. For the raw total energy, the calculation gives -3.80 eV per atom.